1.
A relaxed structure of TiGe2Mo. Source: Alexandria via LeMat-Bulk, functional PBE.

```
data_TiGe2Mo
_chemical_formula_sum 'Ti2 Ge4 Mo2'
_cell_length_a 3.573
_cell_length_b 6.213
_cell_length_c 6.517
_cell_angle_alpha 99.25
_cell_angle_beta 105.91
_cell_angle_gamma 90.00
_symmetry_space_group_name_H-M 'P 1'
_symmetry_Int_Tables_number 1
loop_
_symmetry_equiv_pos_as_xyz
'x,y,z'
loop_
_atom_site_label
_atom_site_type_symbol
_atom_site_fract_x
_atom_site_fract_y
_atom_site_fract_z
Ge1 Ge 0.375 0.125 0.251
Ge2 Ge 0.625 0.875 0.749
Ge3 Ge 0.875 0.625 0.251
Mo1 Mo 0.500 0.500 0.500
Mo2 Mo 0.000 0.000 0.500
Ti1 Ti 0.250 0.750 0.000
Ti2 Ti 0.750 0.250 0.000
Ge4 Ge 0.125 0.375 0.749
```

The total magnetic moment is 0.00 Bohr magnetons per cell. The energy relative to the lowest polymorph listed for this composition is 13.9 kJ per mole of atoms.



2.
A relaxed structure of Ti2Ge2Mo. Source: Alexandria via LeMat-Bulk, functional PBE.

```
data_Ti2Ge2Mo
_chemical_formula_sum 'Ti4 Ge4 Mo2'
_cell_length_a 6.678
_cell_length_b 6.678
_cell_length_c 3.539
_cell_angle_alpha 90.00
_cell_angle_beta 90.00
_cell_angle_gamma 90.00
_symmetry_space_group_name_H-M 'P 1'
_symmetry_Int_Tables_number 1
loop_
_symmetry_equiv_pos_as_xyz
'x,y,z'
loop_
_atom_site_label
_atom_site_type_symbol
_atom_site_fract_x
_atom_site_fract_y
_atom_site_fract_z
Mo1 Mo 0.500 0.500 0.000
Ti1 Ti 0.170 0.670 0.500
Ge1 Ge 0.133 0.367 0.000
Ti2 Ti 0.670 0.830 0.500
Ti3 Ti 0.830 0.330 0.500
Ti4 Ti 0.330 0.170 0.500
Ge2 Ge 0.867 0.633 0.000
Ge3 Ge 0.367 0.867 0.000
Mo2 Mo 0.000 0.000 0.000
Ge4 Ge 0.633 0.133 0.000
```

The total magnetic moment is 0.00 Bohr magnetons per cell. The calculated total energy is -38.6 eV/f.u.



3.
A relaxed structure of Ti2GeMo. Source: Alexandria via LeMat-Bulk, functional PBE.

```
data_Ti2GeMo
_chemical_formula_sum 'Ti2 Ge1 Mo1'
_cell_length_a 3.071
_cell_length_b 3.071
_cell_length_c 8.375
_cell_angle_alpha 79.43
_cell_angle_beta 79.43
_cell_angle_gamma 60.00
_symmetry_space_group_name_H-M 'P 1'
_symmetry_Int_Tables_number 1
loop_
_symmetry_equiv_pos_as_xyz
'x,y,z'
loop_
_atom_site_label
_atom_site_type_symbol
_atom_site_fract_x
_atom_site_fract_y
_atom_site_fract_z
Ti1 Ti 0.254 0.254 0.239
Ti2 Ti 0.746 0.746 0.761
Ge1 Ge 0.500 0.500 0.500
Mo1 Mo 0.000 0.000 0.000
```

The total magnetic moment is 0.00 Bohr magnetons per cell. The calculated total energy is -31.8 eV/f.u.



4.
A relaxed structure of ZrTi2GeMo. Source: Alexandria via LeMat-Bulk, functional PBE.

```
data_ZrTi2GeMo
_chemical_formula_sum 'Zr1 Ti2 Ge1 Mo1'
_cell_length_a 4.831
_cell_length_b 4.764
_cell_length_c 4.831
_cell_angle_alpha 90.00
_cell_angle_beta 90.00
_cell_angle_gamma 90.00
_symmetry_space_group_name_H-M 'P 1'
_symmetry_Int_Tables_number 1
loop_
_symmetry_equiv_pos_as_xyz
'x,y,z'
loop_
_atom_site_label
_atom_site_type_symbol
_atom_site_fract_x
_atom_site_fract_y
_atom_site_fract_z
Ti1 Ti 0.000 0.000 0.500
Ti2 Ti 0.500 0.000 0.000
Mo1 Mo 0.000 0.500 0.000
Zr1 Zr 0.000 0.000 0.000
Ge1 Ge 0.500 0.500 0.500
```

The total magnetic moment is 0.00 Bohr magnetons per cell. The calculated total energy is -32.6 eV/f.u.



5.
A relaxed structure of TlGe3Mo. Source: Alexandria via LeMat-Bulk, functional PBE.

```
data_TlGe3Mo
_chemical_formula_sum 'Tl1 Ge3 Mo1'
_cell_length_a 4.958
_cell_length_b 4.958
_cell_length_c 4.958
_cell_angle_alpha 90.00
_cell_angle_beta 90.00
_cell_angle_gamma 90.00
_symmetry_space_group_name_H-M 'P 1'
_symmetry_Int_Tables_number 1
loop_
_symmetry_equiv_pos_as_xyz
'x,y,z'
loop_
_atom_site_label
_atom_site_type_symbol
_atom_site_fract_x
_atom_site_fract_y
_atom_site_fract_z
Mo1 Mo 0.000 0.000 0.000
Ge1 Ge 0.500 0.000 0.000
Ge2 Ge 0.000 0.000 0.500
Ge3 Ge 0.000 0.500 0.000
Tl1 Tl 0.500 0.500 0.500
```

The total magnetic moment is 0.00 Bohr magnetons per cell. The energy relative to the lowest polymorph listed for this composition is 0.0 kJ per mole of atoms.



6.
A relaxed structure of Tl2GeMo. Source: Alexandria via LeMat-Bulk, functional PBE.

```
data_Tl2GeMo
_chemical_formula_sum 'Tl2 Ge1 Mo1'
_cell_length_a 5.086
_cell_length_b 5.086
_cell_length_c 5.086
_cell_angle_alpha 60.00
_cell_angle_beta 60.00
_cell_angle_gamma 60.00
_symmetry_space_group_name_H-M 'P 1'
_symmetry_Int_Tables_number 1
loop_
_symmetry_equiv_pos_as_xyz
'x,y,z'
loop_
_atom_site_label
_atom_site_type_symbol
_atom_site_fract_x
_atom_site_fract_y
_atom_site_fract_z
Tl1 Tl 0.750 0.750 0.750
Tl2 Tl 0.250 0.250 0.250
Ge1 Ge 0.000 0.000 0.000
Mo1 Mo 0.500 0.500 0.500
```

The total magnetic moment is 3.46 Bohr magnetons per cell. The energy relative to the lowest polymorph listed for this composition is 30.9 kJ per mole of atoms.



7.
A relaxed structure of Tl2GeMo. Source: Alexandria via LeMat-Bulk, functional PBE.

```
data_Tl2GeMo
_chemical_formula_sum 'Tl4 Ge2 Mo2'
_cell_length_a 10.717
_cell_length_b 10.717
_cell_length_c 7.966
_cell_angle_alpha 47.72
_cell_angle_beta 47.72
_cell_angle_gamma 90.00
_symmetry_space_group_name_H-M 'P 1'
_symmetry_Int_Tables_number 1
loop_
_symmetry_equiv_pos_as_xyz
'x,y,z'
loop_
_atom_site_label
_atom_site_type_symbol
_atom_site_fract_x
_atom_site_fract_y
_atom_site_fract_z
Mo1 Mo 0.750 0.250 0.500
Tl1 Tl 0.875 0.125 0.250
Tl2 Tl 0.875 0.125 0.750
Ge1 Ge 0.500 0.500 0.000
Ge2 Ge 0.250 0.750 0.500
Tl3 Tl 0.875 0.625 0.250
Mo2 Mo 0.000 0.000 0.000
Tl4 Tl 0.375 0.125 0.750
```

The total magnetic moment is 1.80 Bohr magnetons per cell. The energy relative to the lowest polymorph listed for this composition is 0.0 kJ per mole of atoms.



8.
A relaxed structure of TlGeMo2. Source: Alexandria via LeMat-Bulk, functional PBE.

```
data_TlGeMo2
_chemical_formula_sum 'Tl1 Ge1 Mo2'
_cell_length_a 4.598
_cell_length_b 4.598
_cell_length_c 4.598
_cell_angle_alpha 60.00
_cell_angle_beta 60.00
_cell_angle_gamma 60.00
_symmetry_space_group_name_H-M 'P 1'
_symmetry_Int_Tables_number 1
loop_
_symmetry_equiv_pos_as_xyz
'x,y,z'
loop_
_atom_site_label
_atom_site_type_symbol
_atom_site_fract_x
_atom_site_fract_y
_atom_site_fract_z
Mo1 Mo 0.750 0.750 0.750
Tl1 Tl 0.500 0.500 0.500
Mo2 Mo 0.250 0.250 0.250
Ge1 Ge 0.000 0.000 0.000
```

The total magnetic moment is 0.00 Bohr magnetons per cell. The energy relative to the lowest polymorph listed for this composition is 0.0 kJ per mole of atoms.